The following is a DFT calculation (GGA-PBE) of a relaxed structure of TaCd3Pd.

Output
DFT formation energy, eV/atom: 1.3839
N(E_F), states/eV/atom: 1.349
Total DFT energy (no corrections), eV for the cell shown: -12.871
Energy relative to the lowest polymorph listed for this composition, meV per atom: 379

```
data_TaCd3Pd
_chemical_formula_sum 'Ta1 Cd3 Pd1'
_space_group_name_H-M_alt 'P m -3 m'
_space_group_IT_number 221
_space_group_name_Hall '-P 4 2 3'
_cell_length_a 5.357
_cell_length_b 5.357
_cell_length_c 5.357
_cell_angle_alpha 90.00
_cell_angle_beta 90.00
_cell_angle_gamma 90.00
loop_
_atom_site_label
_atom_site_type_symbol
_atom_site_fract_x
_atom_site_fract_y
_atom_site_fract_z
Ta1 Ta 0.000 0.000 0.000
Cd1 Cd 0.000 0.000 0.500
Pd1 Pd 0.500 0.500 0.500
```